1.
Density functional theory data (PBE-GGA) for a relaxed Li3Ni2Pt crystal.

## Properties
size of the total moment	0.002	μB per atom
uncorrected energy	-24.01	eV per cell
SG	P-3m1

Cell lengths 2.625, 2.625, 12.429 Å; angles 90.00, 90.00, 120.00 degrees
Fractional positions:
Li (0.000, 0.000, 0.000)
Li (0.333, 0.667, 0.674)
Li (0.667, 0.333, 0.326)
Ni (0.333, 0.667, 0.164)
Ni (0.667, 0.333, 0.836)
Pt (0.000, 0.000, 0.500)



2.
Density functional theory data (PBE-GGA) for a relaxed Dy2ErHg crystal.

## Properties
size of the total moment	0.005	μB per atom
SG	Ama2
calculated formation energy	-0.199	eV per atom
excess energy over the best structure of this formula in the dataset	0	meV per atom

Cell lengths 5.093, 6.708, 6.708 Å; angles 103.28, 90.00, 90.00 degrees
Fractional positions:
Dy (0.250, 0.110, 0.890)
Dy (0.250, 0.593, 0.820)
Dy (0.750, 0.820, 0.593)
Dy (0.750, 0.890, 0.110)
Er (0.250, 0.178, 0.405)
Er (0.750, 0.405, 0.178)
Hg (0.250, 0.676, 0.321)
Hg (0.750, 0.321, 0.676)



3.
Density functional theory data (PBE-GGA) for a relaxed DyYI6 crystal.

## Properties
size of the total moment	0.000	μB per atom
uncorrected energy	-31.64	eV per cell
SG	C2

Cell lengths 7.657, 7.657, 7.784 Å; angles 99.22, 99.22, 120.04 degrees
Fractional positions:
Dy (0.000, 0.000, 0.000)
Y (0.333, 0.667, 0.000)
I (0.097, 0.410, 0.238)
I (0.236, 0.256, 0.762)
I (0.388, 0.056, 0.242)
I (0.590, 0.903, 0.762)
I (0.744, 0.764, 0.238)
I (0.944, 0.612, 0.758)



4.
Density functional theory data (PBE-GGA) for a relaxed Lu4CuAsC2 crystal.

## Properties
size of the total moment	0.002	μB per atom
uncorrected energy	-49.07	eV per cell
SG	P-6m2

Cell lengths 3.583, 3.583, 13.316 Å; angles 90.00, 90.00, 120.00 degrees
Fractional positions:
Lu (0.000, 0.000, 0.152)
Lu (0.000, 0.000, 0.848)
Lu (0.333, 0.667, 0.346)
Lu (0.333, 0.667, 0.654)
Cu (0.000, 0.000, 0.500)
As (0.333, 0.667, 0.000)
C (0.667, 0.333, 0.254)
C (0.667, 0.333, 0.746)



5.
Density functional theory data (PBE-GGA) for a relaxed Ta4SiSnN2 crystal.

## Properties
size of the total moment	0.001	μB per atom
uncorrected energy	-77.39	eV per cell
SG	P-6m2

Cell lengths 3.231, 3.231, 12.939 Å; angles 90.00, 90.00, 120.00 degrees
Fractional positions:
Ta (0.000, 0.000, 0.144)
Ta (0.000, 0.000, 0.856)
Ta (0.333, 0.667, 0.320)
Ta (0.333, 0.667, 0.680)
Si (0.333, 0.667, 0.000)
Sn (0.000, 0.000, 0.500)
N (0.667, 0.333, 0.235)
N (0.667, 0.333, 0.765)



6.
Density functional theory data (PBE-GGA) for a relaxed PrDySe2 crystal.

## Properties
size of the total moment	0.001	μB per atom
uncorrected energy	-23.56	eV per cell
SG	C2/m

Cell lengths 4.121, 4.121, 7.329 Å; angles 106.40, 106.40, 60.15 degrees
Fractional positions:
Pr (0.000, 0.000, 0.000)
Dy (0.500, 0.500, 0.500)
Se (0.244, 0.244, 0.732)
Se (0.756, 0.756, 0.268)



7.
Density functional theory data (PBE-GGA) for a relaxed ZrTlAgSe3 crystal.

## Properties
size of the total moment	0.000	μB per atom
SG	C2/m
excess energy over the best structure of this formula in the dataset	78	meV per atom

Cell lengths 8.997, 8.997, 9.118 Å; angles 99.01, 99.01, 24.90 degrees
Fractional positions:
Zr (0.164, 0.164, 0.083)
Zr (0.836, 0.836, 0.917)
Tl (0.131, 0.131, 0.568)
Tl (0.869, 0.869, 0.432)
Ag (0.468, 0.468, 0.778)
Ag (0.532, 0.532, 0.222)
Se (0.000, 0.000, 0.000)
Se (0.317, 0.317, 0.710)
Se (0.324, 0.324, 0.123)
Se (0.500, 0.500, 0.500)
Se (0.676, 0.676, 0.877)
Se (0.683, 0.683, 0.290)



8.
Density functional theory data (PBE-GGA) for a relaxed Nd2ErBi3 crystal.

## Properties
size of the total moment	0.001	μB per atom
uncorrected energy	-31.74	eV per cell
SG	P-3m1

Cell lengths 4.533, 4.533, 11.130 Å; angles 90.00, 90.00, 120.00 degrees
Fractional positions:
Nd (0.333, 0.667, 0.329)
Nd (0.667, 0.333, 0.671)
Er (0.000, 0.000, 0.000)
Bi (0.000, 0.000, 0.500)
Bi (0.333, 0.667, 0.843)
Bi (0.667, 0.333, 0.157)